Here is a geometry-optimized FeBiTeO6 structure from the Alexandria database. Energies are from GGA+U.

Values from the calculation:
Magnetic moment ... 1.00 μB per formula unit
Uncorrected energy ... -102.6 eV per cell

Lattice parameters (Å, degrees): 5.1667 5.1667 10.0978 90.00 90.00 120.00
With the nearest neighbours (Å) after each atom.
Space group P-31c (No. 163)
Asymmetric unit:
Fe: 0.3333 0.6667 0.2500 x2  6 O 1.97
Bi: 0.0000 0.0000 0.0000 x2  6 O 2.40
Te: 0.3333 0.6667 0.7500 x2  6 O 1.96
O: 0.0009 0.3721 0.6421 x12  1 Te 1.96, 1 Fe 1.97